# 1
CaLa2Ti, relaxed, DFT PBE; calculated density = 4828 kg/m3; space group = R-3m (166); calculated total energy = -4.448 eV per atom; ΔH_f (0 K) = 490.2 meV/atom; spin magnetization = 0.62 μB per formula unit
1.0
1.703 0.983 12.515
-1.703 0.983 12.515
0.000 -1.967 12.515
Ca La Ti
1 2 1
direct
0.000 0.000 0.000
0.423 0.423 0.423
0.577 0.577 0.577
0.500 0.500 0.500

# 2
ScP2NCl, relaxed, DFT PBE; calculated density = 2003 kg/m3; space group = P4/mmm (123); raw formation energy = 1058 meV per atom; calculated total energy = -4.407 eV per atom; spin magnetization = 3.80 μB per formula unit
1.0
5.072 0.000 0.000
0.000 5.072 0.000
0.000 0.000 5.039
Sc P N Cl
1 2 1 1
direct
0.000 0.000 0.000
0.000 0.500 0.000
0.500 0.000 0.000
0.500 0.500 0.500
0.000 0.000 0.500

# 3
AgHg2Ru, relaxed, DFT PBE; calculated density = 13577 kg/m3; space group = P4/mmm (123); calculated total energy = -2.791 eV per atom; ΔH_f (0 K) = 392.1 meV/atom; spin magnetization = 1.27 μB per formula unit
1.0
3.009 0.000 0.000
0.000 3.009 0.000
0.000 0.000 8.239
Ag Hg Ru
1 2 1
direct
0.000 0.000 0.000
0.500 0.500 0.263
0.500 0.500 0.737
0.000 0.000 0.500